# SrSm2Er GGA-PBE relaxed
# E_form = 0.20 eV/atom
# Relative energy among the computed polymorphs = 0.090 eV/atom
data_SrSm2Er
_chemical_formula_sum 'Sr3 Sm6 Er3'
_cell_length_a 3.6335
_cell_length_b 3.6335
_cell_length_c 38.8541
_cell_angle_alpha 90.00
_cell_angle_beta 90.00
_cell_angle_gamma 120.00
_symmetry_space_group_name_H-M 'R -3 m'
_symmetry_Int_Tables_number 166
_symmetry_space_group_name_Hall '-R 3 2"'
loop_
_atom_site_label
_atom_site_type_symbol
_atom_site_fract_x
_atom_site_fract_y
_atom_site_fract_z
Sr1 Sr 0.0000 0.0000 0.0000
Sm1 Sm 0.0000 0.0000 0.0937
Er1 Er 0.0000 0.0000 0.5000

=====

# Ca5TbBi4 GGA-PBE relaxed
# E_form = -0.72 eV/atom
data_Ca5TbBi4
_chemical_formula_sum 'Ca10 Tb2 Bi8'
_cell_length_a 17.408
_cell_length_b 5.148
_cell_length_c 7.903
_cell_angle_alpha 90.00
_cell_angle_beta 94.12
_cell_angle_gamma 90.00
_symmetry_space_group_name_H-M 'C 1 2/m 1'
_symmetry_Int_Tables_number 12
loop_
_symmetry_equiv_pos_as_xyz
'x,y,z'
'-x,-y,-z'
'-x,y,-z'
'x,-y,z'
'x+1/2,y+1/2,z'
'-x+1/2,-y+1/2,-z'
'-x+1/2,y+1/2,-z'
'x+1/2,-y+1/2,z'
loop_
_atom_site_label
_atom_site_type_symbol
_atom_site_fract_x
_atom_site_fract_y
_atom_site_fract_z
Ca1 Ca 0.000 0.000 0.000
Ca2 Ca 0.160 0.500 0.986
Ca3 Ca 0.170 0.500 0.502
Tb1 Tb 0.000 0.000 0.500
Bi1 Bi 0.024 0.500 0.252
Bi2 Bi 0.181 0.000 0.745

=====

# Tl4CuSe3 GGA-PBE relaxed
# Raw formation energy = -267 meV/atom
data_Tl4CuSe3
_chemical_formula_sum 'Tl16 Cu4 Se12'
_cell_length_a 12.567
_cell_length_b 12.567
_cell_length_c 5.561
_cell_angle_alpha 90.00
_cell_angle_beta 90.00
_cell_angle_gamma 90.00
_symmetry_space_group_name_H-M 'I 4/m c m'
_symmetry_Int_Tables_number 140
_symmetry_space_group_name_Hall '-I 4 2c'
loop_
_atom_site_label
_atom_site_type_symbol
_atom_site_fract_x
_atom_site_fract_y
_atom_site_fract_z
Tl1 Tl 0.086 0.229 0.000
Cu1 Cu 0.000 0.500 0.250
Se1 Se 0.000 0.000 0.250
Se2 Se 0.120 0.380 0.500

=====

# La6ZnRh2I3 GGA-PBE relaxed
# Raw formation energy = -889 meV/atom
data_La6ZnRh2I3
_chemical_formula_sum 'La12 Zn2 Rh4 I6'
_cell_length_a 7.473
_cell_length_b 12.934
_cell_length_c 8.598
_cell_angle_alpha 90.00
_cell_angle_beta 106.87
_cell_angle_gamma 90.00
_symmetry_space_group_name_H-M 'C 1 2/m 1'
_symmetry_Int_Tables_number 12
loop_
_symmetry_equiv_pos_as_xyz
'x,y,z'
'-x,-y,-z'
'-x,y,-z'
'x,-y,z'
'x+1/2,y+1/2,z'
'-x+1/2,-y+1/2,-z'
'-x+1/2,y+1/2,-z'
'x+1/2,-y+1/2,z'
loop_
_atom_site_label
_atom_site_type_symbol
_atom_site_fract_x
_atom_site_fract_y
_atom_site_fract_z
La1 La 0.212 0.000 0.190
La2 La 0.239 0.324 0.191
Zn1 Zn 0.000 0.500 0.000
Rh1 Rh 0.000 0.167 0.000
I1 I 0.000 0.000 0.500
I2 I 0.000 0.337 0.500

=====

# PWSe2 GGA-PBE relaxed
# Raw formation energy = 66 meV/atom
data_PWSe2
_chemical_formula_sum 'P1 W1 Se2'
_cell_length_a 4.730
_cell_length_b 3.494
_cell_length_c 5.423
_cell_angle_alpha 90.00
_cell_angle_beta 110.67
_cell_angle_gamma 90.00
_symmetry_space_group_name_H-M 'P 1 2/m 1'
_symmetry_Int_Tables_number 10
loop_
_symmetry_equiv_pos_as_xyz
'x,y,z'
'-x,-y,-z'
'-x,y,-z'
'x,-y,z'
loop_
_atom_site_label
_atom_site_type_symbol
_atom_site_fract_x
_atom_site_fract_y
_atom_site_fract_z
P1 P 0.000 0.000 0.000
W1 W 0.500 0.000 0.000
Se1 Se 0.322 0.500 0.628

=====

# Rb2BaTiF6 GGA-PBE relaxed
# Raw formation energy = -3016 meV/atom
data_Rb2BaTiF6
_chemical_formula_sum 'Rb8 Ba4 Ti4 F24'
_cell_length_a 9.352
_cell_length_b 9.352
_cell_length_c 9.352
_cell_angle_alpha 90.00
_cell_angle_beta 90.00
_cell_angle_gamma 90.00
_symmetry_space_group_name_H-M 'F m -3 m'
_symmetry_Int_Tables_number 225
_symmetry_space_group_name_Hall '-F 4 2 3'
loop_
_atom_site_label
_atom_site_type_symbol
_atom_site_fract_x
_atom_site_fract_y
_atom_site_fract_z
Rb1 Rb 0.250 0.250 0.250
Ba1 Ba 0.000 0.000 0.000
Ti1 Ti 0.000 0.000 0.500
F1 F 0.000 0.000 0.275

=====

# NiAgAs2 GGA-PBE relaxed
# E_form = 0.39 eV/atom
# Relative energy among the computed polymorphs = 0.391 eV/atom
data_NiAgAs2
_chemical_formula_sum 'Ni4 Ag4 As8'
_cell_length_a 6.462
_cell_length_b 6.462
_cell_length_c 6.462
_cell_angle_alpha 90.00
_cell_angle_beta 90.00
_cell_angle_gamma 90.00
_symmetry_space_group_name_H-M 'F -4 3 m'
_symmetry_Int_Tables_number 216
_symmetry_space_group_name_Hall 'F -4 2 3'
loop_
_atom_site_label
_atom_site_type_symbol
_atom_site_fract_x
_atom_site_fract_y
_atom_site_fract_z
Ni1 Ni 0.000 0.000 0.000
Ag1 Ag 0.250 0.250 0.750
As1 As 0.000 0.000 0.500
As2 As 0.250 0.250 0.250

=====

# Zn36Ga5Ni8 GGA-PBE relaxed
# E_form = -0.14 eV/atom
data_Zn36Ga5Ni8
_chemical_formula_sum 'Zn36 Ga5 Ni8'
_cell_length_a 8.875
_cell_length_b 8.875
_cell_length_c 8.875
_cell_angle_alpha 90.00
_cell_angle_beta 90.00
_cell_angle_gamma 90.00
_symmetry_space_group_name_H-M 'P -4 3 m'
_symmetry_Int_Tables_number 215
_symmetry_space_group_name_Hall 'P -4 2 3'
loop_
_atom_site_label
_atom_site_type_symbol
_atom_site_fract_x
_atom_site_fract_y
_atom_site_fract_z
Zn1 Zn 0.000 0.000 0.312
Zn2 Zn 0.055 0.294 0.294
Zn3 Zn 0.139 0.500 0.500
Zn4 Zn 0.180 0.180 0.539
Ga1 Ga 0.000 0.000 0.000
Ga2 Ga 0.385 0.385 0.615
Ni1 Ni 0.176 0.176 0.824
Ni2 Ni 0.335 0.335 0.335

=====

Ordered magnetization results: 0.00, 0.00, 0.00, 0.00, 0.00, 7.54, 0.00, 0.00; unit μB per cell.